First-principles (PBE) data for crystalline Sr2CaWN4 at its relaxed geometry, as listed in the Alexandria database.

Results
Its energy relative to the elements, uncorrected is -0.9891 eV/atom.

The structure in POSCAR format:
```
Sr2CaWN4
1.0
-2.5387 4.8859 -1.6192
-0.1144 -2.2080 -6.4835
-6.9088 -3.1894 1.2081
N W Sr Ca
8 2 4 2
direct
0.8264 0.8405 0.5000
0.9237 0.3050 0.2105
0.3264 0.1595 0.0000
0.4237 0.6950 0.2895
0.9237 0.3050 0.7895
0.8931 0.9087 0.0000
0.4237 0.6950 0.7105
0.3931 0.0913 0.5000
0.5016 0.8295 0.5000
0.0016 0.1705 0.0000
0.9747 0.6773 0.2454
0.4747 0.3227 0.2546
0.9747 0.6773 0.7546
0.4747 0.3227 0.7454
0.4821 0.8551 0.0000
0.9821 0.1449 0.5000
```